No. 1
This record from the Alexandria database describes a relaxed structure of Cs4PmEr3Te8. The functional is PBE.

Properties
**VASP energy**: -207.11 eV/cell

Cell lengths 9.1150, 9.1150, 26.7621 Å; angles 90.00, 90.00, 120.00 degrees
Space group R-3m (No. 166, hexagonal axes)
Unique sites:
Cs1 0.0000 0.0000 0.0000 [3 per cell]
Cs2 0.0000 0.5000 0.0000 [9 per cell]
Pm1 0.0000 0.0000 0.5000 [3 per cell]
Er1 0.0000 0.5000 0.5000 [9 per cell]
Te1 0.0000 0.0000 0.2291 [6 per cell]
Te2 0.0069 0.5035 0.7699 [18 per cell]

***

No. 2
This record from the Alexandria database describes a relaxed structure of CsPrEr4S8. The functional is PBE.

Properties
**VASP energy**: -248.22 eV/cell

Cell lengths 8.2314, 8.2314, 21.0382 Å; angles 90.00, 90.00, 120.00 degrees
Space group R3m (No. 160, hexagonal axes)
Unique sites:
Cs1 0.0000 0.0000 0.0000 [3 per cell]
Pr1 0.0000 0.0000 0.6396 [3 per cell]
Er1 0.0000 0.0000 0.2593 [3 per cell]
Er2 0.1719 0.3438 0.4653 [9 per cell]
S1 0.0000 0.0000 0.3900 [3 per cell]
S2 0.0000 0.0000 0.8587 [3 per cell]
S3 0.0477 0.5239 0.3961 [9 per cell]
S4 0.1731 0.3462 0.2133 [9 per cell]

***

No. 3
This record from the Alexandria database describes a relaxed structure of Cs3PrEr2S6. The functional is PBE.

Properties
**VASP energy**: -126.05 eV/cell

Cell lengths 7.176, 12.430, 8.423 Å; angles 90.00, 106.50, 90.00 degrees
Space group C2/m (No. 12)
Unique sites:
Cs1 0.000 0.000 0.000 [2 per cell]
Cs2 0.000 0.335 0.000 [4 per cell]
Pr1 0.000 0.500 0.500 [2 per cell]
Er1 0.000 0.167 0.500 [4 per cell]
S1 0.215 0.000 0.682 [4 per cell]
S2 0.234 0.327 0.683 [8 per cell]

***

No. 4
This record from the Alexandria database describes a relaxed structure of Cs2PrErSe4. The functional is PBE.

Properties
**VASP energy**: -38.71 eV/cell

Cell lengths 7.514, 4.336, 8.759 Å; angles 90.00, 106.58, 90.00 degrees
Space group P2/m (No. 10)
Unique sites:
Cs1 0.000 0.000 0.000 [1 per cell]
Cs2 0.500 0.500 0.000 [1 per cell]
Pr1 0.000 0.500 0.500 [1 per cell]
Er1 0.500 0.000 0.500 [1 per cell]
Se1 0.241 0.000 0.690 [2 per cell]
Se2 0.282 0.500 0.314 [2 per cell]

***

No. 5
This record from the Alexandria database describes a relaxed structure of Cs4Pr3ErSe8. The functional is PBE.

Properties
**VASP energy**: -233.13 eV/cell

Cell lengths 8.7717, 8.7717, 25.2240 Å; angles 90.00, 90.00, 120.00 degrees
Space group R-3m (No. 166, hexagonal axes)
Unique sites:
Cs1 0.0000 0.0000 0.0000 [3 per cell]
Cs2 0.0000 0.5000 0.0000 [9 per cell]
Pr1 0.0000 0.5000 0.5000 [9 per cell]
Er1 0.0000 0.0000 0.5000 [3 per cell]
Se1 0.0000 0.0000 0.2311 [6 per cell]
Se2 0.0106 0.5053 0.2295 [18 per cell]

***

No. 6
This record from the Alexandria database describes a relaxed structure of Cs3Pr2ErSe6. The functional is PBE.

Properties
**VASP energy**: -116.45 eV/cell

Cell lengths 7.568, 13.106, 8.775 Å; angles 90.00, 106.74, 90.00 degrees
Space group C2/m (No. 12)
Unique sites:
Cs1 0.000 0.000 0.000 [2 per cell]
Cs2 0.000 0.331 0.000 [4 per cell]
Pr1 0.000 0.166 0.500 [4 per cell]
Er1 0.000 0.500 0.500 [2 per cell]
Se1 0.224 0.339 0.689 [8 per cell]
Se2 0.241 0.000 0.690 [4 per cell]